(1)
Compound: Na2CrH5C4O11
Source: the Alexandria database
Functional: PBEsol
Structure: optimized geometry

Results
The total energy comes out at -0.4995 Ry/atom.

Cell and atoms, written as CIF:
```
data_Na2CrH5C4O11
_cell_length_a 9.386
_cell_length_b 8.671
_cell_length_c 12.307
_cell_angle_alpha 90.00
_cell_angle_beta 100.02
_cell_angle_gamma 90.00
_symmetry_space_group_name_H-M 'P 1 21/c 1'
_symmetry_Int_Tables_number 14
_symmetry_space_group_name_Hall '-P 2ybc'
loop_
_atom_site_label
_atom_site_fract_x
_atom_site_fract_y
_atom_site_fract_z
Na1 0.136 0.148 0.223
Na2 0.359 0.167 0.490
Cr1 0.394 0.560 0.565
H1 0.060 0.143 0.454
H2 0.093 0.526 0.919
H3 0.241 0.529 0.221
H4 0.252 0.699 0.184
H5 0.397 0.626 0.363
C1 0.126 0.516 0.436
C2 0.132 0.687 0.471
C3 0.427 0.148 0.745
C4 0.447 0.559 0.792
O1 0.021 0.036 0.872
O2 0.031 0.723 0.933
O3 0.118 0.084 0.408
O4 0.237 0.063 0.982
O5 0.245 0.724 0.541
O6 0.259 0.633 0.251
O7 0.313 0.174 0.680
O8 0.348 0.515 0.712
O9 0.448 0.536 0.891
O10 0.452 0.187 0.848
O11 0.471 0.612 0.432
```

---

(2)
Compound: RbCrH4C4O10
Source: the Alexandria database
Functional: PBEsol
Structure: optimized geometry

Results
For the density of states at the Fermi level, the calculation gives 0.000 states/eV/f.u. The total energy comes out at -0.5203 Ry/atom.

Cell and atoms, written as CIF:
```
data_RbCrH4C4O10
_cell_length_a 6.623
_cell_length_b 7.125
_cell_length_c 10.248
_cell_angle_alpha 90.00
_cell_angle_beta 91.28
_cell_angle_gamma 90.00
_symmetry_space_group_name_H-M 'C 1 2/m 1'
_symmetry_Int_Tables_number 12
_symmetry_space_group_name_Hall '-C 2y'
loop_
_atom_site_label
_atom_site_fract_x
_atom_site_fract_y
_atom_site_fract_z
Rb1 0.000 0.000 0.000
Cr1 0.000 0.500 0.500
H1 0.153 0.117 0.402
C1 0.131 0.392 0.254
O1 0.068 0.319 0.364
O2 0.190 0.301 0.160
O3 0.215 0.000 0.442
```

---

(3)
Compound: HfCrC3
Source: the Alexandria database
Functional: PBEsol
Structure: optimized geometry

Results
For the density of states at the Fermi level, the calculation gives 2.888 states/eV/f.u. The total energy comes out at -0.6643 Ry/atom.

Cell and atoms, written as CIF:
```
data_HfCrC3
_cell_length_a 3.712
_cell_length_b 3.712
_cell_length_c 3.712
_cell_angle_alpha 90.00
_cell_angle_beta 90.00
_cell_angle_gamma 90.00
_symmetry_space_group_name_H-M 'P m -3 m'
_symmetry_Int_Tables_number 221
_symmetry_space_group_name_Hall '-P 4 2 3'
loop_
_atom_site_label
_atom_site_fract_x
_atom_site_fract_y
_atom_site_fract_z
Hf1 0.000 0.000 0.000
Cr1 0.500 0.500 0.500
C1 0.000 0.500 0.500
```

---

(4)
Compound: CrHgC2I
Source: the Alexandria database
Functional: PBEsol
Structure: optimized geometry

Results
For the density of states at the Fermi level, the calculation gives 3.145 states/eV/f.u. Its formation energy from raw total energies is 2852 meV per atom.

Cell and atoms, written as CIF:
```
data_CrHgC2I
_cell_length_a 4.205
_cell_length_b 4.205
_cell_length_c 6.002
_cell_angle_alpha 90.00
_cell_angle_beta 90.00
_cell_angle_gamma 90.00
_symmetry_space_group_name_H-M 'P 4/m m m'
_symmetry_Int_Tables_number 123
_symmetry_space_group_name_Hall '-P 4 2'
loop_
_atom_site_label
_atom_site_fract_x
_atom_site_fract_y
_atom_site_fract_z
Cr1 0.000 0.000 0.000
Hg1 0.500 0.500 0.000
C1 0.000 0.500 0.500
I1 0.500 0.500 0.500
```

---

(5)
Compound: CrC2IO
Source: the Alexandria database
Functional: PBEsol
Structure: optimized geometry

Results
For the density of states at the Fermi level, the calculation gives 3.316 states/eV/f.u. Its formation energy from raw total energies is 1379 meV per atom.

Cell and atoms, written as CIF:
```
data_CrC2IO
_cell_length_a 3.591
_cell_length_b 3.591
_cell_length_c 5.300
_cell_angle_alpha 90.00
_cell_angle_beta 90.00
_cell_angle_gamma 90.00
_symmetry_space_group_name_H-M 'P 4/m m m'
_symmetry_Int_Tables_number 123
_symmetry_space_group_name_Hall '-P 4 2'
loop_
_atom_site_label
_atom_site_fract_x
_atom_site_fract_y
_atom_site_fract_z
Cr1 0.000 0.000 0.000
C1 0.000 0.500 0.000
I1 0.000 0.000 0.500
O1 0.500 0.500 0.500
```

---

(6)
Compound: ScCr2InC
Source: the Alexandria database
Functional: PBEsol
Structure: optimized geometry

Results
For the density of states at the Fermi level, the calculation gives 3.886 states/eV/f.u. The total energy comes out at -0.5897 Ry/atom.

Cell and atoms, written as CIF:
```
data_ScCr2InC
_cell_length_a 4.020
_cell_length_b 4.020
_cell_length_c 4.360
_cell_angle_alpha 90.00
_cell_angle_beta 90.00
_cell_angle_gamma 90.00
_symmetry_space_group_name_H-M 'P 4/m m m'
_symmetry_Int_Tables_number 123
_symmetry_space_group_name_Hall '-P 4 2'
loop_
_atom_site_label
_atom_site_fract_x
_atom_site_fract_y
_atom_site_fract_z
Sc1 0.000 0.000 0.000
Cr1 0.000 0.500 0.500
In1 0.500 0.500 0.000
C1 0.000 0.000 0.500
```

---

(7)
Compound: Cr2Ir2C
Source: the Alexandria database
Functional: PBEsol
Structure: optimized geometry

Results
For the density of states at the Fermi level, the calculation gives 3.901 states/eV/f.u. The total energy comes out at -0.7468 Ry/atom.

Cell and atoms, written as CIF:
```
data_Cr2Ir2C
_cell_length_a 2.7153
_cell_length_b 2.7153
_cell_length_c 26.1993
_cell_angle_alpha 90.00
_cell_angle_beta 90.00
_cell_angle_gamma 120.00
_symmetry_space_group_name_H-M 'R -3 m'
_symmetry_Int_Tables_number 166
_symmetry_space_group_name_Hall '-R 3 2"'
loop_
_atom_site_label
_atom_site_fract_x
_atom_site_fract_y
_atom_site_fract_z
Cr1 0.0000 0.0000 0.1230
Ir1 0.0000 0.0000 0.3781
C1 0.0000 0.0000 0.5000
```

---

(8)
Compound: K3CrC
Source: the Alexandria database
Functional: PBEsol
Structure: optimized geometry

Results
For the density of states at the Fermi level, the calculation gives 3.419 states/eV/f.u. The total energy comes out at -0.1956 Ry/atom.

Cell and atoms, written as CIF:
```
data_K3CrC
_cell_length_a 6.555
_cell_length_b 6.555
_cell_length_c 6.555
_cell_angle_alpha 90.00
_cell_angle_beta 90.00
_cell_angle_gamma 90.00
_symmetry_space_group_name_H-M 'P m -3 m'
_symmetry_Int_Tables_number 221
_symmetry_space_group_name_Hall '-P 4 2 3'
loop_
_atom_site_label
_atom_site_fract_x
_atom_site_fract_y
_atom_site_fract_z
K1 0.000 0.000 0.500
Cr1 0.000 0.000 0.000
C1 0.500 0.500 0.500
```

---

Q: Which total magnetic moment values were calculated for the entries above? A: 3.000, 3.000, 0.000, 4.344, 0.002, 3.605, 0.000, 8.948, in μB/f.u..